Material: SmEuZnHg
Method: DFT, PBE
State: optimized geometry

The calculation puts the density at 8.8 g/cm³. As for the energy of formation: -0.3817 eV/atom. For the total magnetization, the calculation gives 28.00 μB per cell. The density of states at the Fermi level is 22.4 states/eV per cell.

The structure belongs to space group F-43m (No. 216); the cell edges are 7.543, 7.543 and 7.543 Å and the angles 90.00°, 90.00° and 90.00°. The inequivalent atoms are Sm at (0.000, 0.000, 0.000), Eu at (0.000, 0.000, 0.500), Zn at (0.250, 0.250, 0.750) and Hg at (0.250, 0.250, 0.250).


Material: EuSnHg
Method: DFT, PBE
State: optimized geometry

The calculation puts the density at 8.6 g/cm³. As for the energy of formation: -0.4953 eV/atom. For the total magnetization, the calculation gives 28.02 μB per cell. The density of states at the Fermi level is 47.4 states/eV per cell.

The structure belongs to space group F-43m (No. 216); the cell edges are 7.135, 7.135 and 7.135 Å and the angles 90.00°, 90.00° and 90.00°. The inequivalent atoms are Eu at (0.000, 0.000, 0.000), Sn at (0.000, 0.000, 0.500) and Hg at (0.250, 0.250, 0.750).


Material: Eu2SnHg
Method: DFT, PBE
State: optimized geometry

The calculation puts the density at 8.6 g/cm³. As for the energy of formation: -0.6276 eV/atom. The energy above the most stable polymorph in this dataset is 0.16 eV per formula unit. For the total magnetization, the calculation gives 14.17 μB per cell. The density of states at the Fermi level is 13.3 states/eV per cell.

The structure belongs to space group P4/mmm (No. 123); the cell edges are 5.576, 5.576 and 3.886 Å and the angles 90.00°, 90.00° and 90.00°. The inequivalent atoms are Eu at (0.000, 0.500, 0.000), Sn at (0.000, 0.000, 0.500) and Hg at (0.500, 0.500, 0.500).


Material: EuSnHg2
Method: DFT, PBE
State: optimized geometry

The calculation puts the density at 10.5 g/cm³. As for the energy of formation: -0.3864 eV/atom. For the total magnetization, the calculation gives 7.11 μB per cell. The density of states at the Fermi level is 8.7 states/eV per cell.

The structure belongs to space group P4/mmm (No. 123); the cell edges are 4.714, 4.714 and 4.778 Å and the angles 90.00°, 90.00° and 90.00°. The inequivalent atoms are Eu at (0.000, 0.000, 0.000), Sn at (0.500, 0.500, 0.000) and Hg at (0.000, 0.500, 0.500).


Material: EuSnHg4
Method: DFT, PBE
State: optimized geometry

The calculation puts the density at 11.0 g/cm³. As for the energy of formation: -0.1739 eV/atom. For the total magnetization, the calculation gives 29.55 μB per cell. The density of states at the Fermi level is 46.6 states/eV per cell.

The structure belongs to space group F-43m (No. 216); the cell edges are 8.651, 8.651 and 8.651 Å and the angles 90.00°, 90.00° and 90.00°. The inequivalent atoms are Eu at (0.000, 0.000, 0.000), Sn at (0.250, 0.250, 0.750) and Hg at (0.125, 0.125, 0.375).


Material: EuSnHg
Method: DFT, PBE
State: optimized geometry

The calculation puts the density at 9.3 g/cm³. As for the energy of formation: -0.4181 eV/atom. For the total magnetization, the calculation gives 14.09 μB per cell. The density of states at the Fermi level is 14.0 states/eV per cell.

The structure belongs to space group I4mm (No. 107); the cell edges are 3.739, 3.739 and 12.076 Å and the angles 90.00°, 90.00° and 90.00°. The inequivalent atoms are Eu at (0.000, 0.000, 0.000), Sn at (0.000, 0.000, 0.315) and Hg at (0.000, 0.000, 0.664).